Density functional theory data (PBE-GGA) for a relaxed SiOs2Se crystal.

Lattice parameters (Å, degrees): 2.8731 2.8731 7.5986 90.00 90.00 90.00
With the nearest neighbours (Å) after each atom.
Positions (direct):
Si 0.0000 0.0000 0.0000  4 Os 2.55
Os 0.0000 0.0000 0.4467  4 Se 2.63, 8 Os 2.75-2.87
Os 0.5000 0.5000 0.2025  4 Si 2.55, 4 Os 2.75
Se 0.5000 0.5000 0.6666  4 Os 2.63, 4 Se 2.87

Properties
The calculation puts the energy above the most stable polymorph in this dataset at 113.6 meV/atom.

***

Density functional theory data (PBE-GGA) for a relaxed Si2OsSe crystal.

Lattice parameters (Å, degrees): 2.7548 2.7548 9.8660 90.00 90.00 115.37
With the nearest neighbours (Å) after each atom.
Positions (direct):
Si 0.0000 0.0000 0.2043  2 Os 2.50, 4 Si 2.75
Si 0.0000 0.0000 0.7957  2 Os 2.50, 4 Si 2.75
Os 0.5000 0.5000 0.0000  4 Si 2.50, 4 Os 2.75
Se 0.5000 0.5000 0.5000  6 Se 2.75-2.95

***

Density functional theory data (PBE-GGA) for a relaxed Si2OsSe crystal.

Lattice parameters (Å, degrees): 4.3836 4.3836 5.0525 98.89 98.89 41.98
With the nearest neighbours (Å) after each atom.
Positions (direct):
Si 0.2302 0.2302 0.1949  3 Os 2.52-2.56, 2 Si 2.58, 1 Se 2.62
Si 0.7698 0.7698 0.8051  3 Os 2.52-2.56, 2 Si 2.58, 1 Se 2.62
Os 0.5000 0.5000 0.0000  6 Si 2.52-2.56
Se 0.0000 0.0000 0.5000  6 Si 2.62-2.93

***

Density functional theory data (PBE-GGA) for a relaxed Si2OsSe crystal.

Lattice parameters (Å, degrees): 2.9535 2.9535 7.1109 90.00 90.00 90.00
With the nearest neighbours (Å) after each atom.
Positions (direct):
Si 0.0000 0.0000 0.2087  4 Os 2.56
Si 0.0000 0.0000 0.7913  4 Os 2.56
Os 0.5000 0.5000 0.0000  8 Si 2.56
Se 0.5000 0.5000 0.5000  8 Si 2.94, 4 Se 2.95

***

Density functional theory data (PBE-GGA) for a relaxed SiOs2Se crystal.

Lattice parameters (Å, degrees): 4.9176 4.9176 4.2677 104.60 104.60 35.56
With the nearest neighbours (Å) after each atom.
Positions (direct):
Si 0.0000 0.0000 0.0000  7 Os 2.56-2.70
Os 0.4904 0.4904 0.4897  1 Se 2.46, 4 Si 2.59-2.63
Os 0.7286 0.7286 0.1069  3 Si 2.56-2.70, 4 Se 2.60-2.63
Se 0.2482 0.2482 0.6149  5 Os 2.46-2.63

Properties
The calculation puts the energy above the most stable polymorph in this dataset at 127.6 meV/atom.

***

Density functional theory data (PBE-GGA) for a relaxed SiOsSe3 crystal.

Lattice parameters (Å, degrees): 4.8854 4.8854 4.8854 90.00 90.00 90.00
With the nearest neighbours (Å) after each atom.
Positions (direct):
Si 0.0000 0.0000 0.0000  12 Se 3.45
Os 0.5000 0.5000 0.5000  6 Se 2.44
Se 0.0000 0.5000 0.5000  2 Os 2.44
Se 0.5000 0.0000 0.5000  2 Os 2.44
Se 0.5000 0.5000 0.0000  2 Os 2.44

Properties
The calculation puts the energy above the most stable polymorph in this dataset at 0.0 meV/atom.

***

Density functional theory data (PBE-GGA) for a relaxed SiOs2Se crystal.

Lattice parameters (Å, degrees): 2.8755 4.1325 5.1242 90.00 90.00 90.00
With the nearest neighbours (Å) after each atom.
Positions (direct):
Si 0.0000 0.0000 0.0000  4 Os 2.52
Os 0.0000 0.5000 0.5000  4 Se 2.52
Os 0.5000 0.5000 0.0000  4 Si 2.52
Se 0.5000 0.0000 0.5000  4 Os 2.52

Properties
The calculation puts the energy above the most stable polymorph in this dataset at 456.3 meV/atom.

***

Density functional theory data (PBE-GGA) for a relaxed SiOs2Se crystal.

Lattice parameters (Å, degrees): 3.0096 3.7709 5.5369 90.00 105.09 90.00
With the nearest neighbours (Å) after each atom.
Positions (direct):
Si 0.0000 0.0000 0.0000  4 Os 2.37
Os 0.3674 0.5000 0.2275  2 Si 2.37
Os 0.6326 0.5000 0.7725  2 Si 2.37
Se 0.0000 0.0000 0.5000  2 Si 2.77, 8 Os 2.81-2.82, 2 Se 3.01

Properties
The calculation puts the energy above the most stable polymorph in this dataset at 286.4 meV/atom.

***

Density functional theory data (PBE-GGA) for a relaxed SiOs2Se crystal.

Lattice parameters (Å, degrees): 5.4627 5.4627 5.4627 149.46 131.80 58.14
With the nearest neighbours (Å) after each atom.
Positions (direct):
Si 0.0000 0.0000 0.0000  4 Os 2.42, 4 Se 2.65
Os 0.2042 0.7042 0.5000  2 Si 2.42
Os 0.7958 0.2958 0.5000  2 Si 2.42
Se 0.5000 0.5000 0.0000  4 Si 2.65, 2 Se 2.88, 4 Os 2.96

Properties
The calculation puts the energy above the most stable polymorph in this dataset at 306.5 meV/atom.

***

Density functional theory data (PBE-GGA) for a relaxed SiOsSe4 crystal.

Lattice parameters (Å, degrees): 5.5669 5.5669 5.5669 60.00 60.00 60.00
With the nearest neighbours (Å) after each atom.
Positions (direct):
Si 0.0000 0.0000 0.0000  12 Se 3.27, 4 Os 3.41
Os 0.7500 0.7500 0.7500  12 Se 3.26, 4 Si 3.41
Se 0.3764 0.3764 0.3764  6 Se 2.75-2.81
Se 0.3764 0.3764 0.8708  6 Se 2.75-2.81
Se 0.3764 0.8708 0.3764  6 Se 2.75-2.81
Se 0.8708 0.3764 0.3764  6 Se 2.75-2.81

***

Density functional theory data (PBE-GGA) for a relaxed SiOs2Se crystal.

Lattice parameters (Å, degrees): 4.4212 4.4212 4.4212 60.00 60.00 60.00
With the nearest neighbours (Å) after each atom.
Positions (direct):
Si 0.0000 0.0000 0.0000  4 Se 2.71, 4 Os 2.71
Os 0.2500 0.2500 0.2500  4 Os 2.71, 4 Si 2.71
Os 0.5000 0.5000 0.5000  4 Se 2.71, 4 Os 2.71
Se 0.7500 0.7500 0.7500  4 Si 2.71, 4 Os 2.71

Properties
The calculation puts the energy above the most stable polymorph in this dataset at 729.6 meV/atom.

***

Density functional theory data (PBE-GGA) for a relaxed Si2OsSe crystal.

Lattice parameters (Å, degrees): 2.9063 2.9063 9.2211 90.00 90.00 121.61
With the nearest neighbours (Å) after each atom.
Positions (direct):
Si 0.0000 0.0000 0.0000  2 Os 2.42, 2 Si 2.54
Si 0.5000 0.5000 0.2282  4 Si 2.54-2.84
Os 0.5000 0.5000 0.7872  2 Si 2.42, 2 Se 2.58
Se 0.0000 0.0000 0.5531  2 Os 2.58, 2 Se 2.84

***

Density functional theory data (PBE-GGA) for a relaxed SiOs3Se crystal.

Lattice parameters (Å, degrees): 4.5405 4.5405 4.5405 90.00 90.00 90.00
With the nearest neighbours (Å) after each atom.
Positions (direct):
Si 0.0000 0.0000 0.0000  12 Os 3.21
Os 0.0000 0.5000 0.5000  2 Se 2.27
Os 0.5000 0.0000 0.5000  2 Se 2.27
Os 0.5000 0.5000 0.0000  2 Se 2.27
Se 0.5000 0.5000 0.5000  6 Os 2.27

Properties
The calculation puts the energy above the most stable polymorph in this dataset at 495.8 meV/atom.

***

Density functional theory data (PBE-GGA) for a relaxed Si2OsSe crystal.

Lattice parameters (Å, degrees): 3.0251 3.0251 7.1779 90.00 90.00 90.00
With the nearest neighbours (Å) after each atom.
Positions (direct):
Si 0.0000 0.0000 0.0000  4 Si 2.56, 1 Os 2.74
Si 0.5000 0.5000 0.1947  4 Os 2.52, 4 Si 2.56
Os 0.0000 0.0000 0.3814  5 Si 2.52-2.74, 4 Se 2.76
Se 0.5000 0.5000 0.6240  4 Os 2.76, 4 Se 3.03, 1 Si 3.08

***

Density functional theory data (PBE-GGA) for a relaxed SiOs3Se crystal.

Lattice parameters (Å, degrees): 4.4298 4.4298 4.4298 90.00 90.00 90.00
With the nearest neighbours (Å) after each atom.
Positions (direct):
Si 0.0000 0.0000 0.0000  6 Os 2.21
Os 0.0000 0.0000 0.5000  2 Si 2.21
Os 0.0000 0.5000 0.0000  2 Si 2.21
Os 0.5000 0.0000 0.0000  2 Si 2.21
Se 0.5000 0.5000 0.5000  12 Os 3.13

Properties
The calculation puts the energy above the most stable polymorph in this dataset at 0.0 meV/atom.

***

Density functional theory data (PBE-GGA) for a relaxed SiOs2Se crystal.

Lattice parameters (Å, degrees): 9.9357 9.9357 9.9357 16.30 16.30 16.30
With the nearest neighbours (Å) after each atom.
Positions (direct):
Si 0.0000 0.0000 0.0000  3 Os 2.62, 6 Si 2.82
Os 0.4755 0.4755 0.4755  3 Se 2.65, 9 Os 2.68-2.82
Os 0.7365 0.7365 0.7365  3 Si 2.62, 9 Os 2.68-2.82
Se 0.2135 0.2135 0.2135  3 Os 2.65, 6 Se 2.82

Properties
The calculation puts the energy above the most stable polymorph in this dataset at 168.7 meV/atom.

***

Density functional theory data (PBE-GGA) for a relaxed Si2OsSe crystal.

Lattice parameters (Å, degrees): 4.2593 4.3176 4.3176 62.17 90.00 90.00
With the nearest neighbours (Å) after each atom.
Positions (direct):
Si 0.0000 0.0000 0.0000  3 Os 2.45-2.67, 2 Si 2.63
Si 0.5000 0.2082 0.2082  2 Os 2.41, 3 Se 2.47-2.64, 2 Si 2.63
Os 0.0000 0.3611 0.3611  5 Si 2.41-2.67, 2 Se 2.61
Se 0.5000 0.5648 0.5648  3 Si 2.47-2.64, 2 Os 2.61

***

Density functional theory data (PBE-GGA) for a relaxed SiOs2Se crystal.

Lattice parameters (Å, degrees): 5.3846 5.3846 5.3846 148.07 133.70 57.34
With the nearest neighbours (Å) after each atom.
Positions (direct):
Si 0.0000 0.0000 0.0000  6 Os 2.51-2.58
Os 0.2146 0.7146 0.5000  2 Si 2.51, 4 Se 2.59
Os 0.4932 0.4932 0.0000  4 Si 2.58, 2 Se 2.66
Se 0.7272 0.2272 0.5000  6 Os 2.59-2.66

Properties
The calculation puts the energy above the most stable polymorph in this dataset at 255.4 meV/atom.

***

Density functional theory data (PBE-GGA) for a relaxed Si2OsSe crystal.

Lattice parameters (Å, degrees): 4.5463 4.5463 3.1032 98.89 98.89 102.47
With the nearest neighbours (Å) after each atom.
Positions (direct):
Si 0.0000 0.5000 0.0000  2 Se 2.55, 2 Os 2.55, 2 Si 2.85
Si 0.5000 0.0000 0.0000  2 Se 2.55, 2 Os 2.55, 2 Si 2.85
Os 0.0000 0.0000 0.5000  4 Si 2.55, 2 Se 2.85
Se 0.5000 0.5000 0.5000  4 Si 2.55, 2 Os 2.85

***

Density functional theory data (PBE-GGA) for a relaxed SiOs2Se crystal.

Lattice parameters (Å, degrees): 2.9138 3.8749 5.2215 90.00 90.00 90.00
With the nearest neighbours (Å) after each atom.
Positions (direct):
Si 0.0000 0.0000 0.0000  6 Os 2.56-2.66
Os 0.0000 0.0000 0.4900  2 Si 2.56-2.66, 4 Se 2.56
Os 0.5000 0.5000 0.1616  2 Se 2.54-2.68, 4 Si 2.57
Se 0.5000 0.5000 0.6478  6 Os 2.54-2.68

Properties
The calculation puts the energy above the most stable polymorph in this dataset at 91.0 meV/atom.

***

Density functional theory data (PBE-GGA) for a relaxed Si2OsSe crystal.

Lattice parameters (Å, degrees): 2.9393 4.4563 4.6531 90.00 90.00 90.00
With the nearest neighbours (Å) after each atom.
Positions (direct):
Si 0.0000 0.0000 0.0000  4 Se 2.67, 6 Si 2.75-2.94
Si 0.5000 0.0000 0.5000  4 Os 2.67, 6 Si 2.75-2.94
Os 0.0000 0.5000 0.5000  4 Si 2.67, 4 Se 2.75, 2 Os 2.94
Se 0.5000 0.5000 0.0000  4 Si 2.67, 4 Os 2.75, 2 Se 2.94

***

Density functional theory data (PBE-GGA) for a relaxed Si2OsSe crystal.

Lattice parameters (Å, degrees): 4.5838 4.5838 2.9020 90.00 90.00 90.00
With the nearest neighbours (Å) after each atom.
Positions (direct):
Si 0.0000 0.5000 0.0000  4 Se 2.71, 4 Os 2.71, 2 Si 2.90
Si 0.5000 0.0000 0.0000  4 Se 2.71, 4 Os 2.71, 2 Si 2.90
Os 0.0000 0.0000 0.5000  8 Si 2.71, 2 Os 2.90
Se 0.5000 0.5000 0.5000  8 Si 2.71, 2 Se 2.90

***

Density functional theory data (PBE-GGA) for a relaxed Si2OsSe crystal.

Lattice parameters (Å, degrees): 5.9562 5.9562 5.9562 151.89 136.95 52.21
With the nearest neighbours (Å) after each atom.
Positions (direct):
Si 0.1957 0.1957 0.0000  2 Os 2.54
Si 0.8043 0.8043 0.0000  2 Os 2.54
Os 0.0000 0.5000 0.5000  4 Si 2.54, 4 Se 2.62
Se 0.5000 0.0000 0.5000  4 Os 2.62, 2 Se 2.89

***

Density functional theory data (PBE-GGA) for a relaxed Si2OsSe crystal.

Lattice parameters (Å, degrees): 7.3221 7.3221 7.3221 25.11 25.11 25.11
With the nearest neighbours (Å) after each atom.
Positions (direct):
Si 0.2460 0.2460 0.2460  3 Os 2.49, 3 Se 2.61
Si 0.7540 0.7540 0.7540  3 Os 2.49, 3 Se 2.61
Os 0.5000 0.5000 0.5000  6 Si 2.49
Se 0.0000 0.0000 0.0000  6 Si 2.61

***

Density functional theory data (PBE-GGA) for a relaxed SiOs2Se crystal.

Lattice parameters (Å, degrees): 2.8417 2.8417 8.6362 90.00 90.00 119.10
With the nearest neighbours (Å) after each atom.
Positions (direct):
Si 0.0000 0.0000 0.0000  4 Os 2.38
Os 0.5000 0.5000 0.2188  2 Si 2.38
Os 0.5000 0.5000 0.7812  2 Si 2.38
Se 0.0000 0.0000 0.5000  4 Os 2.82, 6 Se 2.84-2.88

Properties
The calculation puts the energy above the most stable polymorph in this dataset at 309.4 meV/atom.

***

Density functional theory data (PBE-GGA) for a relaxed SiOs2Se2 crystal.

Lattice parameters (Å, degrees): 6.3104 6.3104 6.3104 141.84 141.84 55.07
With the nearest neighbours (Å) after each atom.
Positions (direct):
Si 0.0000 0.0000 0.0000  8 Se 3.27, 8 Os 3.48
Os 0.2500 0.7500 0.5000  4 Se 2.45
Os 0.7500 0.2500 0.5000  4 Se 2.45
Se 0.3681 0.3681 0.0000  4 Os 2.45
Se 0.6319 0.6319 0.0000  4 Os 2.45

***

Density functional theory data (PBE-GGA) for a relaxed SiOs2Se crystal.

Lattice parameters (Å, degrees): 3.0181 3.0181 6.2680 90.00 90.00 90.00
With the nearest neighbours (Å) after each atom.
Positions (direct):
Si 0.0000 0.0000 0.0000  8 Os 2.55
Os 0.5000 0.5000 0.2235  4 Si 2.55, 4 Se 2.75, 1 Os 2.80
Os 0.5000 0.5000 0.7765  4 Si 2.55, 4 Se 2.75, 1 Os 2.80
Se 0.0000 0.0000 0.5000  8 Os 2.75, 4 Se 3.02

Properties
The calculation puts the energy above the most stable polymorph in this dataset at 0.0 meV/atom.

***

Density functional theory data (PBE-GGA) for a relaxed SiOsSe3 crystal.

Lattice parameters (Å, degrees): 4.6292 4.6292 4.6292 90.00 90.00 90.00
With the nearest neighbours (Å) after each atom.
Positions (direct):
Si 0.0000 0.0000 0.0000  6 Se 2.31
Os 0.5000 0.5000 0.5000  12 Se 3.27
Se 0.0000 0.0000 0.5000  2 Si 2.31
Se 0.0000 0.5000 0.0000  2 Si 2.31
Se 0.5000 0.0000 0.0000  2 Si 2.31

Properties
The calculation puts the energy above the most stable polymorph in this dataset at 407.0 meV/atom.

***

Density functional theory data (PBE-GGA) for a relaxed Si2OsSe crystal.

Lattice parameters (Å, degrees): 4.5080 4.5080 3.0198 90.00 90.00 105.05
With the nearest neighbours (Å) after each atom.
Positions (direct):
Si 0.0000 0.5000 0.0000  4 Se 2.71, 4 Os 2.71, 4 Si 2.74-3.02
Si 0.5000 0.0000 0.0000  4 Se 2.71, 4 Os 2.71, 4 Si 2.74-3.02
Os 0.0000 0.0000 0.5000  8 Si 2.71, 2 Se 2.74, 2 Os 3.02
Se 0.5000 0.5000 0.5000  8 Si 2.71, 2 Os 2.74, 2 Se 3.02

***

Density functional theory data (PBE-GGA) for a relaxed Si2OsSe crystal.

Lattice parameters (Å, degrees): 4.1258 4.1258 6.0891 110.13 110.13 44.51
With the nearest neighbours (Å) after each atom.
Positions (direct):
Si 0.0000 0.0000 0.0000  3 Si 2.32-2.51, 2 Os 2.60
Si 0.2257 0.2257 0.8287  3 Si 2.32-2.51, 3 Os 2.43-2.49
Os 0.4565 0.4565 0.6425  5 Si 2.43-2.60, 3 Se 2.67
Se 0.6713 0.6713 0.3819  3 Os 2.67, 2 Si 2.70

***

The D(E_F) results, record by record, are as follows: 3.09; 2.39; 1.74; 1.53; 2.36; 7.94; 3.42; 2.36; 3.03; 6.25; 6.29; 2.69; 4.34; 2.79; 3.14; 1.33; 1.49; 2.10; 1.64; 3.04; 2.60; 2.67; 2.27; 1.17; 4.25; 1.38; 1.40; 5.39; 2.25; 2.00 states/eV/f.u..
The energy relative to the elements, uncorrected results, record by record, are as follows: 321; 436; 385; 201; 336; 865; 664; 494; 514; 1459; 937; 547; 1978; 317; 1483; 377; 87; 463; 452; 299; 648; 637; 487; 125; 517; 713; 208; 1272; 498; 193 meV/atom.